Density functional theory data (PBE) for a relaxed LaMg2Cd2Ga crystal.

For the calculated volume, the calculation gives 338.0 Å³/cell. The energy is -12.333 eV per formula unit.

The space group is I4/mmm (No. 139) and the conventional cell measures 5.334, 5.334 and 11.876 Å, with angles of 90.00, 90.00 and 90.00 degrees. The distinct sites, in fractional coordinates, are La at (0.000, 0.000, 0.000), Mg at (0.000, 0.500, 0.250), Cd at (0.000, 0.000, 0.287) and Ga at (0.000, 0.000, 0.500).